(a)
A plane-wave DFT calculation with SCAN was carried out for a crystal of Ga2SnPb2 relaxed with PBEsol.

extended XYZ file:
```
5
Lattice="-1.8609 1.8609 9.1136 1.8609 -1.8609 9.1136 1.8609 1.8609 -9.1136" Properties=species:S:1:pos:R:3 pbc="T T T"
Ga 1.8609 0.0000 4.5568
Ga 0.0000 1.8609 4.5568
Sn 0.0000 0.0000 0.0000
Pb 0.0000 0.0000 7.0970
Pb 0.0000 0.0000 11.1301
```

Symmetry: No. 139

***

(b)
A plane-wave DFT calculation with SCAN was carried out for a crystal of Ga2SnPb2 relaxed with PBEsol.

extended XYZ file:
```
10
Lattice="7.3109 0.0000 0.0000 0.0000 7.3109 0.0000 0.0000 0.0000 4.6515" Properties=species:S:1:pos:R:3 pbc="T T T"
Ga 0.9056 2.7498 0.0000
Ga 2.7498 6.4053 0.0000
Ga 4.5611 0.9056 0.0000
Ga 6.4053 4.5611 0.0000
Sn 0.0000 0.0000 0.0000
Sn 3.6555 3.6555 0.0000
Pb 1.3476 5.0030 2.3257
Pb 2.3079 1.3476 2.3257
Pb 5.0030 5.9634 2.3257
Pb 5.9634 2.3079 2.3257
```

Symmetry: No. 127

***

Order from most stable to least stable according to the calculation: (b), (a)

***

(a)
A plane-wave DFT calculation with SCAN was carried out for a crystal of Ga2Sn2Pb relaxed with PBEsol.

extended XYZ file:
```
5
Lattice="-1.9683 1.9683 7.8768 1.9683 -1.9683 7.8768 1.9683 1.9683 -7.8768" Properties=species:S:1:pos:R:3 pbc="T T T"
Ga 1.9683 0.0000 3.9384
Ga 0.0000 1.9683 3.9384
Sn 0.0000 0.0000 1.7882
Sn 0.0000 0.0000 13.9655
Pb 0.0000 0.0000 7.8768
```

Symmetry: No. 139

***

(b)
A plane-wave DFT calculation with SCAN was carried out for a crystal of Ga2Sn2Pb relaxed with PBEsol.

extended XYZ file:
```
10
Lattice="8.4901 0.0000 0.0000 0.0000 8.4901 0.0000 0.0000 0.0000 3.3420" Properties=species:S:1:pos:R:3 pbc="T T T"
Ga 1.2814 2.9636 0.0000
Ga 2.9636 7.2086 0.0000
Ga 5.5265 1.2814 0.0000
Ga 7.2086 5.5265 0.0000
Sn 1.2253 5.4703 1.6710
Sn 3.0197 1.2253 1.6710
Sn 5.4703 7.2648 1.6710
Sn 7.2648 3.0197 1.6710
Pb 0.0000 0.0000 1.6710
Pb 4.2450 4.2450 1.6710
```

Symmetry: No. 127

***

Order from most stable to least stable according to the calculation: (a), (b)

***

(a)
A plane-wave DFT calculation with SCAN was carried out for a crystal of Tl2Ga2Pb relaxed with PBEsol.

extended XYZ file:
```
10
Lattice="7.5138 0.0000 0.0000 0.0000 7.5138 0.0000 0.0000 0.0000 4.4357" Properties=species:S:1:pos:R:3 pbc="T T T"
Tl 1.3380 2.4189 0.0000
Tl 2.4189 6.1758 0.0000
Tl 5.0949 1.3380 0.0000
Tl 6.1758 5.0949 0.0000
Ga 0.9197 4.6766 2.2179
Ga 2.8372 0.9197 2.2179
Ga 4.6766 6.5941 2.2179
Ga 6.5941 2.8372 2.2179
Pb 0.0000 0.0000 2.2179
Pb 3.7569 3.7569 2.2179
```

Symmetry: No. 127

***

(b)
A plane-wave DFT calculation with SCAN was carried out for a crystal of Tl2Ga2Pb relaxed with PBEsol.

extended XYZ file:
```
5
Lattice="-1.8563 1.8563 9.2360 1.8563 -1.8563 9.2360 1.8563 1.8563 -9.2360" Properties=species:S:1:pos:R:3 pbc="T T T"
Tl 0.0000 0.0000 2.0776
Tl 0.0000 0.0000 16.3944
Ga 1.8563 0.0000 4.6180
Ga 0.0000 1.8563 4.6180
Pb 0.0000 0.0000 9.2360
```

Symmetry: No. 139

***

Order from most stable to least stable according to the calculation: (a), (b)

***

(a)
A plane-wave DFT calculation with SCAN was carried out for a crystal of GaTc3Pd relaxed with PBEsol.

extended XYZ file:
```
5
Lattice="4.6149 0.0000 0.0000 0.0000 4.6149 0.0000 0.0000 0.0000 4.6149" Properties=species:S:1:pos:R:3 pbc="T T T"
Ga 0.0000 0.0000 0.0000
Tc 0.0000 2.3075 2.3075
Tc 2.3075 0.0000 2.3075
Tc 2.3075 2.3075 0.0000
Pd 2.3075 2.3075 2.3075
```

Symmetry: No. 221

***

(b)
A plane-wave DFT calculation with SCAN was carried out for a crystal of GaTc3Pd relaxed with PBEsol.

extended XYZ file:
```
5
Lattice="4.4142 0.0000 0.0000 0.0000 4.4142 0.0000 0.0000 0.0000 4.4142" Properties=species:S:1:pos:R:3 pbc="T T T"
Ga 0.0000 0.0000 0.0000
Tc 0.0000 0.0000 2.2071
Tc 0.0000 2.2071 0.0000
Tc 2.2071 0.0000 0.0000
Pd 2.2071 2.2071 2.2071
```

Symmetry: No. 221

***

Order from most stable to least stable according to the calculation: (b), (a)

***

(a)
A plane-wave DFT calculation with SCAN was carried out for a crystal of Zn2GaRh2 relaxed with PBEsol.

extended XYZ file:
```
10
Lattice="6.2713 0.0000 0.0000 0.0000 6.2713 0.0000 0.0000 0.0000 3.7118" Properties=species:S:1:pos:R:3 pbc="T T T"
Zn 0.9453 2.1903 0.0000
Zn 2.1903 5.3260 0.0000
Zn 4.0810 0.9453 0.0000
Zn 5.3260 4.0810 0.0000
Ga 0.0000 0.0000 1.8559
Ga 3.1356 3.1356 1.8559
Rh 0.9358 4.0714 1.8559
Rh 2.1999 0.9358 1.8559
Rh 4.0714 5.3355 1.8559
Rh 5.3355 2.1999 1.8559
```

Symmetry: No. 127

***

(b)
A plane-wave DFT calculation with SCAN was carried out for a crystal of Zn2GaRh2 relaxed with PBEsol.

extended XYZ file:
```
5
Lattice="-1.8471 1.8471 5.7687 1.8471 -1.8471 5.7687 1.8471 1.8471 -5.7687" Properties=species:S:1:pos:R:3 pbc="T T T"
Zn 0.0000 0.0000 1.1784
Zn 0.0000 0.0000 10.3590
Ga 0.0000 0.0000 5.7687
Rh 1.8471 0.0000 2.8844
Rh 0.0000 1.8471 2.8844
```

Symmetry: No. 139

***

Order from most stable to least stable according to the calculation: (a), (b)

***

(a)
A plane-wave DFT calculation with SCAN was carried out for a crystal of GaSe2S relaxed with PBEsol.

extended XYZ file:
```
4
Lattice="1.7105 0.9876 8.6719 -1.7105 0.9876 8.6719 0.0000 -1.9752 8.6719" Properties=species:S:1:pos:R:3 pbc="T T T"
Ga 0.0000 0.0000 0.0000
Se 0.0000 0.0000 2.7120
Se 0.0000 0.0000 23.3038
S 0.0000 0.0000 13.0079
```

Symmetry: No. 166

***

(b)
A plane-wave DFT calculation with SCAN was carried out for a crystal of GaSe2S relaxed with PBEsol.

extended XYZ file:
```
8
Lattice="-3.3387 3.3387 3.9841 3.3387 -3.3387 3.9841 3.3387 3.3387 -3.9841" Properties=species:S:1:pos:R:3 pbc="T T T"
Ga 0.0000 0.0000 0.0000
Ga 0.0000 3.3387 1.9920
Se 1.6693 1.5571 -0.9960
Se 1.7815 -1.6693 4.9801
Se 1.6693 1.7815 2.9880
Se 1.5571 5.0080 0.9960
S 3.3387 0.0000 1.9920
S 0.0000 0.0000 3.9841
```

Symmetry: No. 122

***

Order from most stable to least stable according to the calculation: (b), (a)

***

(a)
A plane-wave DFT calculation with SCAN was carried out for a crystal of GaSb relaxed with PBEsol.

extended XYZ file:
```
2
Lattice="0.0000 3.0548 3.0548 3.0548 0.0000 3.0548 3.0548 3.0548 0.0000" Properties=species:S:1:pos:R:3 pbc="T T T"
Ga 0.0000 0.0000 0.0000
Sb 1.5274 1.5274 1.5274
```

Symmetry: No. 216

***

(b)
A plane-wave DFT calculation with SCAN was carried out for a crystal of GaSb relaxed with PBEsol.

extended XYZ file:
```
4
Lattice="4.3050 0.0000 0.0000 -2.1525 3.7283 0.0000 0.0000 0.0000 7.0981" Properties=species:S:1:pos:R:3 pbc="T T T"
Ga 0.0000 2.4855 0.0000
Ga 2.1525 1.2428 3.5491
Sb 0.0000 2.4855 4.4435
Sb 2.1525 1.2428 0.8944
```

Symmetry: No. 186

***

Order from most stable to least stable according to the calculation: (a), (b)

***

(a)
A plane-wave DFT calculation with SCAN was carried out for a crystal of YGaSb2Te relaxed with PBEsol.

extended XYZ file:
```
5
Lattice="5.1862 0.0000 0.0000 0.0000 5.1862 0.0000 0.0000 0.0000 5.3353" Properties=species:S:1:pos:R:3 pbc="T T T"
Y 0.0000 0.0000 0.0000
Ga 2.5931 2.5931 2.6676
Sb 0.0000 2.5931 2.6676
Sb 2.5931 0.0000 2.6676
Te 2.5931 2.5931 0.0000
```

Symmetry: No. 123

***

(b)
A plane-wave DFT calculation with SCAN was carried out for a crystal of YGaSb2Te relaxed with PBEsol.

extended XYZ file:
```
5
Lattice="5.7061 0.0000 0.0000 0.0000 5.7061 0.0000 0.0000 0.0000 5.7215" Properties=species:S:1:pos:R:3 pbc="T T T"
Y 0.0000 0.0000 0.0000
Ga 2.8530 2.8530 2.8607
Sb 0.0000 2.8530 0.0000
Sb 2.8530 0.0000 0.0000
Te 0.0000 0.0000 2.8607
```

Symmetry: No. 123

***

Order from most stable to least stable according to the calculation: (a), (b)